[1]
The following is a DFT calculation (PBE) of crystalline PmBeAu2 at its relaxed geometry.

Computed properties:
Distance to the lowest polymorph of the same formula   0.0 meV/atom
ΔH_f (0 K)   -0.466 eV/atom

```
data_PmBeAu2
_chemical_formula_sum 'Pm3 Be3 Au6'
_space_group_name_H-M_alt 'P 1'
_space_group_IT_number 1
_cell_length_a 4.221
_cell_length_b 4.221
_cell_length_c 15.743
_cell_angle_alpha 90.00
_cell_angle_beta 90.00
_cell_angle_gamma 120.00
loop_
_space_group_symop_operation_xyz
'x,y,z'
loop_
_atom_site_label
_atom_site_fract_x
_atom_site_fract_y
_atom_site_fract_z
Pm1 0.000 0.000 0.000
Pm2 0.333 0.667 0.667
Pm3 0.667 0.333 0.333
Be1 0.000 0.000 0.500
Be2 0.333 0.667 0.167
Be3 0.667 0.333 0.833
Au1 0.000 0.000 0.214
Au2 0.000 0.000 0.786
Au3 0.333 0.667 0.453
Au4 0.333 0.667 0.880
Au5 0.667 0.333 0.120
Au6 0.667 0.333 0.547
```

[2]
The following is a DFT calculation (PBE) of crystalline Pm2Be7Au12 at its relaxed geometry.

Computed properties:
ΔH_f (0 K)   -0.314 eV/atom

```
data_Pm2Be7Au12
_chemical_formula_sum 'Pm2 Be7 Au12'
_space_group_name_H-M_alt 'P 1'
_space_group_IT_number 1
_cell_length_a 9.862
_cell_length_b 9.862
_cell_length_c 4.086
_cell_angle_alpha 90.00
_cell_angle_beta 90.00
_cell_angle_gamma 120.00
loop_
_space_group_symop_operation_xyz
'x,y,z'
loop_
_atom_site_label
_atom_site_fract_x
_atom_site_fract_y
_atom_site_fract_z
Pm1 0.333 0.667 0.252
Pm2 0.667 0.333 0.748
Be1 0.000 0.000 0.000
Be2 0.110 0.396 0.752
Be3 0.286 0.890 0.752
Be4 0.396 0.286 0.248
Be5 0.604 0.714 0.752
Be6 0.714 0.110 0.248
Be7 0.890 0.604 0.248
Au1 0.077 0.620 0.750
Au2 0.119 0.860 0.253
Au3 0.140 0.259 0.253
Au4 0.259 0.119 0.747
Au5 0.380 0.457 0.750
Au6 0.457 0.077 0.250
Au7 0.543 0.923 0.750
Au8 0.620 0.543 0.250
Au9 0.741 0.881 0.253
Au10 0.860 0.741 0.747
Au11 0.881 0.140 0.747
Au12 0.923 0.380 0.250
```

[3]
The following is a DFT calculation (PBE) of crystalline PmBe2Au at its relaxed geometry.

Computed properties:
ΔH_f (0 K)   -0.315 eV/atom

```
data_PmBe2Au
_chemical_formula_sum 'Pm3 Be6 Au3'
_space_group_name_H-M_alt 'P 1'
_space_group_IT_number 1
_cell_length_a 3.992
_cell_length_b 3.992
_cell_length_c 15.215
_cell_angle_alpha 90.00
_cell_angle_beta 90.00
_cell_angle_gamma 120.00
loop_
_space_group_symop_operation_xyz
'x,y,z'
loop_
_atom_site_label
_atom_site_fract_x
_atom_site_fract_y
_atom_site_fract_z
Pm1 0.000 0.000 0.000
Pm2 0.333 0.667 0.667
Pm3 0.667 0.333 0.333
Be1 0.000 0.000 0.196
Be2 0.000 0.000 0.804
Be3 0.333 0.667 0.470
Be4 0.333 0.667 0.863
Be5 0.667 0.333 0.137
Be6 0.667 0.333 0.530
Au1 0.000 0.000 0.500
Au2 0.333 0.667 0.167
Au3 0.667 0.333 0.833
```

[4]
The following is a DFT calculation (PBE) of crystalline PmBe3Au6 at its relaxed geometry.

Computed properties:
ΔH_f (0 K)   -0.294 eV/atom

```
data_PmBe3Au6
_chemical_formula_sum 'Pm1 Be3 Au6'
_space_group_name_H-M_alt 'P 1'
_space_group_IT_number 1
_cell_length_a 6.979
_cell_length_b 6.979
_cell_length_c 6.979
_cell_angle_alpha 48.22
_cell_angle_beta 48.22
_cell_angle_gamma 48.22
loop_
_space_group_symop_operation_xyz
'x,y,z'
loop_
_atom_site_label
_atom_site_fract_x
_atom_site_fract_y
_atom_site_fract_z
Pm1 0.000 0.000 0.000
Be1 0.310 0.310 0.310
Be2 0.645 0.645 0.645
Be3 0.841 0.841 0.841
Au1 0.078 0.577 0.573
Au2 0.294 0.477 0.886
Au3 0.477 0.886 0.294
Au4 0.573 0.078 0.577
Au5 0.577 0.573 0.078
Au6 0.886 0.294 0.477
```